# 1
Entry from the Alexandria database: a relaxed structure of BiRuI2O (PBE-GGA).

Cell lengths 5.730, 5.730, 3.758 Å; angles 90.00, 90.00, 90.00 degrees
Element x y z (fractional)
Bi  0.000  0.000  0.000
Ru  0.500  0.500  0.500
I  0.000  0.500  0.500
I  0.500  0.000  0.500
O  0.500  0.500  0.000

Total DFT energy (no corrections) ... -21.44 eV/cell
E above lowest polymorph ... 0.000 eV per atom
D(E_F) ... 6.4 states/eV/cell
Magnetic moment ... 0.00 μB/f.u.
ΔE_f (raw) ... -0.22 eV per formula unit

# 2
Entry from the Alexandria database: a relaxed structure of Sc2CuPbS4 (PBE-GGA).

Cell lengths 6.634, 6.634, 13.284 Å; angles 90.00, 90.00, 147.00 degrees
Element x y z (fractional)
Sc  0.127  0.873  0.560
Sc  0.127  0.873  0.940
Sc  0.873  0.127  0.060
Sc  0.873  0.127  0.440
Cu  0.339  0.661  0.250
Cu  0.661  0.339  0.750
Pb  0.378  0.622  0.750
Pb  0.622  0.378  0.250
S  0.056  0.944  0.750
S  0.233  0.767  0.109
S  0.233  0.767  0.391
S  0.500  0.500  0.000
S  0.500  0.500  0.500
S  0.767  0.233  0.609
S  0.767  0.233  0.891
S  0.944  0.056  0.250

Total DFT energy (no corrections) ... -93.42 eV/cell
D(E_F) ... 6.8 states/eV/cell
Magnetic moment ... 0.00 μB/f.u.
ΔE_f (raw) ... -9.73 eV per formula unit

# 3
Entry from the Alexandria database: a relaxed structure of LiMnCl2 (PBE-GGA).

Cell lengths 3.432, 3.432, 20.190 Å; angles 90.00, 90.00, 120.00 degrees
Element x y z (fractional)
Li  0.000  0.000  0.000
Li  0.333  0.667  0.667
Li  0.667  0.333  0.333
Mn  0.000  0.000  0.500
Mn  0.333  0.667  0.167
Mn  0.667  0.333  0.833
Cl  0.000  0.000  0.257
Cl  0.000  0.000  0.743
Cl  0.333  0.667  0.410
Cl  0.333  0.667  0.924
Cl  0.667  0.333  0.076
Cl  0.667  0.333  0.590

Total DFT energy (no corrections) ... -54.51 eV/cell
E above lowest polymorph ... 0.114 eV per atom
D(E_F) ... 1.8 states/eV/cell
Magnetic moment ... 4.02 μB/f.u.
ΔE_f (raw) ... -3.39 eV per formula unit

# 4
Entry from the Alexandria database: a relaxed structure of LaPt2Br (PBE-GGA).

Cell lengths 4.109, 4.081, 5.197 Å; angles 90.00, 90.07, 90.00 degrees
Element x y z (fractional)
La  0.000  0.000  0.000
Pt  0.000  0.500  0.500
Pt  0.500  0.000  0.500
Br  0.500  0.500  0.000

Total DFT energy (no corrections) ... -21.23 eV/cell
E above lowest polymorph ... 0.351 eV per atom
D(E_F) ... 2.0 states/eV/cell
Magnetic moment ... 0.00 μB/f.u.
ΔE_f (raw) ... -2.54 eV per formula unit